<a>
First-principles (PBE) data for a geometry-optimized NbP2BrCl structure, as listed in Alexandria via LeMat-Bulk.

abc: 4.9120 4.9120 4.8384
angles: 90.00 90.00 90.00
Last column: nearest neighbours and their distance in Å.
Positions (direct):
P: 0.0000 0.5000 0.0000  2 Nb 2.46
P: 0.5000 0.0000 0.0000  2 Nb 2.46
Nb: 0.0000 0.0000 0.0000  2 Cl 2.42, 4 P 2.46
Br: 0.5000 0.5000 0.5000  8 P 3.45, 4 Cl 3.47
Cl: 0.0000 0.0000 0.5000  2 Nb 2.42

Computed properties:
SG: P4/mmm (123)
Calculated volume, Å³ per atom: 23.3
DOS(E_F), states/eV/cell: 4.4
Magnetization, μB per cell: 0.00
Mass density, g/cm³: 3.8

---

<b>
First-principles (PBE) data for a geometry-optimized NbP2BrCl structure, as listed in Alexandria via LeMat-Bulk.

abc: 4.8338 4.8338 4.8053
angles: 90.00 90.00 90.00
Last column: nearest neighbours and their distance in Å.
Positions (direct):
P: 0.0000 0.5000 0.0000  2 Br 2.42
P: 0.5000 0.0000 0.0000  2 Br 2.42
Nb: 0.5000 0.5000 0.5000  8 P 3.41, 4 Cl 3.42
Br: 0.0000 0.0000 0.0000  2 Cl 2.40, 4 P 2.42
Cl: 0.0000 0.0000 0.5000  2 Br 2.40

Computed properties:
SG: P4/mmm (123)
Calculated volume, Å³ per atom: 22.5
DOS(E_F), states/eV/cell: 3.6
Magnetization, μB per cell: 1.85
Mass density, g/cm³: 4.0

---

If you had to name the least stable structure above, which would it be? It would be <b>.